1.
# KFeHg GGA-PBEsol optimized geometry
data_KFeHg
_chemical_formula_sum 'K2 Fe2 Hg2'
_space_group_name_H-M_alt 'P 1'
_space_group_IT_number 1
_cell_length_a 3.6199
_cell_length_b 3.6199
_cell_length_c 12.0995
_cell_angle_alpha 90.00
_cell_angle_beta 90.00
_cell_angle_gamma 90.00
loop_
_space_group_symop_operation_xyz
'x,y,z'
loop_
_atom_site_label
_atom_site_type_symbol
_atom_site_fract_x
_atom_site_fract_y
_atom_site_fract_z
K1 K 0.0000 0.0000 0.0000
K2 K 0.5000 0.5000 0.5000
Fe1 Fe 0.0000 0.0000 0.2635
Fe2 Fe 0.5000 0.5000 0.7635
Hg1 Hg 0.0000 0.0000 0.7274
Hg2 Hg 0.5000 0.5000 0.2274
# Density of states at the Fermi level ... 1.602 states/eV per atom
# Size of the total moment ... 5.28 μB/cell
# Crystal system ... tetragonal
# Space-group type ... I4mm, No. 107
# Formation energy from the elements ... 169 kJ/mol of formula units
# Energy above the most stable polymorph in this dataset ... 0.0 meV per atom

***

2.
# KFeHg GGA-PBEsol optimized geometry
data_KFeHg
_chemical_formula_sum 'K4 Fe4 Hg4'
_space_group_name_H-M_alt 'P 1'
_space_group_IT_number 1
_cell_length_a 6.7738
_cell_length_b 6.7738
_cell_length_c 6.7738
_cell_angle_alpha 90.00
_cell_angle_beta 90.00
_cell_angle_gamma 90.00
loop_
_space_group_symop_operation_xyz
'x,y,z'
loop_
_atom_site_label
_atom_site_type_symbol
_atom_site_fract_x
_atom_site_fract_y
_atom_site_fract_z
K1 K 0.0000 0.0000 0.0000
K2 K 0.0000 0.5000 0.5000
K3 K 0.5000 0.0000 0.5000
K4 K 0.5000 0.5000 0.0000
Fe1 Fe 0.2500 0.2500 0.7500
Fe2 Fe 0.2500 0.7500 0.2500
Fe3 Fe 0.7500 0.2500 0.2500
Fe4 Fe 0.7500 0.7500 0.7500
Hg1 Hg 0.0000 0.0000 0.5000
Hg2 Hg 0.0000 0.5000 0.0000
Hg3 Hg 0.5000 0.0000 0.0000
Hg4 Hg 0.5000 0.5000 0.5000
# Density of states at the Fermi level ... 1.265 states/eV per atom
# Size of the total moment ... 10.91 μB/cell
# Crystal system ... cubic
# Space-group type ... F-43m, No. 216
# Formation energy from the elements ... 275 kJ/mol of formula units
# Energy above the most stable polymorph in this dataset ... 365.7 meV per atom

***

3.
# KFeHg2 GGA-PBEsol optimized geometry
data_KFeHg2
_chemical_formula_sum 'K1 Fe1 Hg2'
_space_group_name_H-M_alt 'P 1'
_space_group_IT_number 1
_cell_length_a 3.1521
_cell_length_b 4.1474
_cell_length_c 7.7609
_cell_angle_alpha 90.00
_cell_angle_beta 90.00
_cell_angle_gamma 90.00
loop_
_space_group_symop_operation_xyz
'x,y,z'
loop_
_atom_site_label
_atom_site_type_symbol
_atom_site_fract_x
_atom_site_fract_y
_atom_site_fract_z
K1 K 0.0000 0.0000 0.0000
Fe1 Fe 0.5000 0.5000 0.3653
Hg1 Hg 0.0000 0.0000 0.4236
Hg2 Hg 0.5000 0.5000 0.7090
# Density of states at the Fermi level ... 1.163 states/eV per atom
# Size of the total moment ... 2.73 μB/cell
# Crystal system ... orthorhombic
# Space-group type ... Pmm2, No. 25
# Formation energy from the elements ... 147 kJ/mol of formula units
# Energy above the most stable polymorph in this dataset ... 106.9 meV per atom

***

4.
# KFeHg2 GGA-PBEsol optimized geometry
data_KFeHg2
_chemical_formula_sum 'K1 Fe1 Hg2'
_space_group_name_H-M_alt 'P 1'
_space_group_IT_number 1
_cell_length_a 3.0686
_cell_length_b 3.6025
_cell_length_c 8.0697
_cell_angle_alpha 90.00
_cell_angle_beta 90.00
_cell_angle_gamma 90.00
loop_
_space_group_symop_operation_xyz
'x,y,z'
loop_
_atom_site_label
_atom_site_type_symbol
_atom_site_fract_x
_atom_site_fract_y
_atom_site_fract_z
K1 K 0.0000 0.0000 0.0000
Fe1 Fe 0.0000 0.0000 0.5000
Hg1 Hg 0.5000 0.5000 0.3152
Hg2 Hg 0.5000 0.5000 0.6848
# Density of states at the Fermi level ... 0.694 states/eV per atom
# Size of the total moment ... 2.84 μB/cell
# Crystal system ... orthorhombic
# Space-group type ... Pmmm, No. 47
# Formation energy from the elements ... 106 kJ/mol of formula units
# Energy above the most stable polymorph in this dataset ... 0.0 meV per atom

***

5.
# KFeHgP2 GGA-PBEsol optimized geometry
data_KFeHgP2
_chemical_formula_sum 'K1 Fe1 Hg1 P2'
_space_group_name_H-M_alt 'P 1'
_space_group_IT_number 1
_cell_length_a 5.0545
_cell_length_b 5.0545
_cell_length_c 4.9966
_cell_angle_alpha 90.00
_cell_angle_beta 90.00
_cell_angle_gamma 90.00
loop_
_space_group_symop_operation_xyz
'x,y,z'
loop_
_atom_site_label
_atom_site_type_symbol
_atom_site_fract_x
_atom_site_fract_y
_atom_site_fract_z
K1 K 0.0000 0.0000 0.0000
Fe1 Fe 0.5000 0.5000 0.0000
Hg1 Hg 0.5000 0.5000 0.5000
P1 P 0.0000 0.5000 0.5000
P2 P 0.5000 0.0000 0.5000
# Density of states at the Fermi level ... 1.239 states/eV per atom
# Size of the total moment ... 3.35 μB/cell
# Crystal system ... tetragonal
# Space-group type ... P4/mmm, No. 123
# Formation energy from the elements ... 493 kJ/mol of formula units

***

6.
# La2FeHg2 GGA-PBEsol optimized geometry
data_La2FeHg2
_chemical_formula_sum 'La4 Fe2 Hg4'
_space_group_name_H-M_alt 'P 1'
_space_group_IT_number 1
_cell_length_a 3.8780
_cell_length_b 3.8780
_cell_length_c 17.6840
_cell_angle_alpha 90.00
_cell_angle_beta 90.00
_cell_angle_gamma 90.00
loop_
_space_group_symop_operation_xyz
'x,y,z'
loop_
_atom_site_label
_atom_site_type_symbol
_atom_site_fract_x
_atom_site_fract_y
_atom_site_fract_z
La1 La 0.0000 0.0000 0.0895
La2 La 0.0000 0.0000 0.9105
La3 La 0.5000 0.5000 0.4105
La4 La 0.5000 0.5000 0.5895
Fe1 Fe 0.0000 0.0000 0.5000
Fe2 Fe 0.5000 0.5000 0.0000
Hg1 Hg 0.0000 0.5000 0.2500
Hg2 Hg 0.0000 0.5000 0.7500
Hg3 Hg 0.5000 0.0000 0.2500
Hg4 Hg 0.5000 0.0000 0.7500
# Density of states at the Fermi level ... 1.106 states/eV per atom
# Size of the total moment ... 2.48 μB/cell
# Crystal system ... tetragonal
# Space-group type ... I4/mmm, No. 139
# Formation energy from the elements ... 77 kJ/mol of formula units